# PaCo2AsO8 GGA+U optimized geometry
data_PaCo2AsO8
_chemical_formula_sum 'Pa1 Co2 As1 O8'
_symmetry_space_group_name_H-M 'P -3 m 1'
_symmetry_Int_Tables_number 164
_symmetry_space_group_name_Hall '-P 3 2"'
_cell_length_a 5.7841
_cell_length_b 5.7841
_cell_length_c 5.6762
_cell_angle_alpha 90.00
_cell_angle_beta 90.00
_cell_angle_gamma 120.00
loop_
_atom_site_label
_atom_site_type_symbol
_atom_site_fract_x
_atom_site_fract_y
_atom_site_fract_z
Pa1 Pa 0.0000 0.0000 0.0000
Co1 Co 0.3333 0.6667 0.5761
As1 As 0.0000 0.0000 0.5000
O1 O 0.1477 0.2955 0.7050
O2 O 0.3333 0.6667 0.2640
# Total moment in μB per formula unit: 8.00
# Crystal system: trigonal
# Density in g/cm³: 5.57
# Final energy in eV per atom: -6.6041